(1)
## NaAuNO (PBE-GGA)

Data for crystalline NaAuNO at its relaxed geometry.

Calculated values
Density, g cm⁻³: 8.65
Space group: P4/nmm, No. 129
E, eV/atom: -3.8885
Offset from the most stable computed form, eV per formula unit: 0.84

```
NaAuNO
1.0
4.809 0.000 0.000
0.000 4.809 0.000
0.000 0.000 4.147
Na Au N O
2 2 2 2
Cartesian
1.202 3.607 0.000
3.607 1.202 0.000
1.202 1.202 2.063
3.607 3.607 2.085
1.202 1.202 4.135
3.607 3.607 0.012
1.202 3.607 2.074
3.607 1.202 2.074
```


(2)
## AsPt15 (PBE-GGA)

Data for crystalline AsPt15 at its relaxed geometry.

Calculated values
Density, g cm⁻³: 16.14
Space group: P2_1/m, No. 11
E, eV/atom: -5.9229
Offset from the most stable computed form, eV per formula unit: 0.50

```
AsPt15
1.0
5.538 0.000 0.000
0.000 3.936 0.000
-0.172 0.000 28.336
As Pt
2 30
Cartesian
0.639 0.984 10.429
4.726 2.952 17.907
0.513 0.984 21.925
0.549 0.984 18.847
0.523 0.984 24.780
0.518 0.984 27.607
0.686 0.984 2.109
0.650 0.984 7.853
0.685 0.984 4.966
1.901 2.952 23.385
1.922 2.952 20.582
2.020 2.952 9.243
1.918 2.952 26.190
2.075 2.952 0.693
2.065 2.952 3.527
2.056 2.952 6.349
2.104 2.952 17.800
3.262 0.984 10.537
3.310 0.984 21.987
3.301 0.984 24.809
3.290 0.984 27.643
3.448 0.984 2.146
3.346 0.984 19.093
3.443 0.984 7.755
3.465 0.984 4.952
4.681 2.952 23.370
4.715 2.952 20.484
4.680 2.952 26.227
4.847 2.952 0.729
4.843 2.952 3.556
4.816 2.952 9.489
4.853 2.952 6.411
```


(3)
## PdF2 (PBE-GGA)

Data for crystalline PdF2 at its relaxed geometry.

Calculated values
Density, g cm⁻³: 6.05
Space group: P4_2/mnm, No. 136
E, eV/atom: -4.0371

```
PdF2
1.0
4.791 0.000 0.000
0.000 4.791 0.000
0.000 0.000 3.455
Pd F
2 4
Cartesian
0.000 0.000 0.000
2.395 2.395 1.727
0.935 0.935 1.727
1.461 3.330 0.000
3.330 1.461 0.000
3.856 3.856 1.727
```


(4)
## Li4Al2GaAu (PBE-GGA)

Data for crystalline Li4Al2GaAu at its relaxed geometry.

Calculated values
Density, g cm⁻³: 4.87
Space group: P-4m2, No. 115
E, eV/atom: -3.0924

```
Li4Al2GaAu
1.0
4.365 0.000 0.000
0.000 4.365 0.000
0.000 0.000 6.234
Li Al Ga Au
4 2 1 1
Cartesian
0.000 0.000 0.000
0.000 2.183 4.677
2.183 0.000 1.558
2.183 2.183 3.117
0.000 2.183 1.518
2.183 0.000 4.716
0.000 0.000 3.117
2.183 2.183 0.000
```


(5)
## RbTcN2 (PBE-GGA)

Data for crystalline RbTcN2 at its relaxed geometry.

Calculated values
Density, g cm⁻³: 4.59
Space group: I-42d, No. 122
E, eV/atom: -7.1628

```
RbTcN2
1.0
-2.981 2.981 4.306
2.981 -2.981 4.306
2.981 2.981 -4.306
Rb Tc N
2 2 4
Cartesian
0.000 0.000 0.000
0.000 2.981 2.153
2.981 0.000 2.153
0.000 0.000 4.306
1.490 2.670 -1.076
3.291 1.490 1.076
1.490 0.310 3.229
-0.310 1.490 5.382
```


(6)
## CdGa2SeS3 (PBE-GGA)

Data for crystalline CdGa2SeS3 at its relaxed geometry.

Calculated values
Density, g cm⁻³: 4.19
Space group: P1, No. 1
E, eV/atom: -3.9331

```
CdGa2SeS3
1.0
5.650 0.000 0.000
-0.093 5.722 0.000
-2.741 -2.772 5.236
Cd Ga Se S
1 2 1 3
Cartesian
0.000 0.000 0.000
-0.079 2.891 2.578
-0.007 0.133 5.234
1.392 -1.183 3.730
-1.330 1.414 3.831
1.440 1.608 1.402
4.056 4.180 1.401
```


(7)
## NbBSb (PBE-GGA)

Data for crystalline NbBSb at its relaxed geometry.

Calculated values
Density, g cm⁻³: 7.44
Space group: F-43m, No. 216
E, eV/atom: -6.1666
Offset from the most stable computed form, eV per formula unit: 0.00

```
NbBSb
1.0
0.000 2.930 2.930
2.930 0.000 2.930
2.930 2.930 0.000
Nb B Sb
1 1 1
Cartesian
0.000 0.000 0.000
1.465 1.465 1.465
2.930 2.930 2.930
```


(8)
## CdB2Sb (PBE-GGA)

Data for crystalline CdB2Sb at its relaxed geometry.

Calculated values
Density, g cm⁻³: 6.13
Space group: F-43m, No. 216
E, eV/atom: -2.8080

```
CdB2Sb
1.0
0.000 3.260 3.260
3.260 0.000 3.260
3.260 3.260 0.000
Cd B Sb
1 2 1
Cartesian
0.000 0.000 0.000
1.630 1.630 1.630
3.260 3.260 3.260
4.889 4.889 4.889
```


(9)
## Ga5Ir (PBE-GGA)

Data for crystalline Ga5Ir at its relaxed geometry.

Calculated values
Density, g cm⁻³: 7.58
Space group: C2/c, No. 15
E, eV/atom: -4.1384

```
Ga5Ir
1.0
3.500 -4.517 0.000
3.500 4.517 0.000
-2.599 0.000 7.494
Ga Ir
10 2
Cartesian
-0.777 0.773 4.767
1.551 3.086 5.620
0.523 -0.773 1.020
3.292 1.336 0.424
2.409 1.336 3.323
1.992 -1.336 4.171
1.110 -1.336 7.070
3.879 0.773 6.473
2.850 -3.086 1.873
5.178 -0.773 2.727
1.551 0.646 5.620
2.850 -0.646 1.873
```


(10)
## Li2GaIr (PBE-GGA)

Data for crystalline Li2GaIr at its relaxed geometry.

Calculated values
Density, g cm⁻³: 8.56
Space group: F-43m, No. 216
E, eV/atom: -4.3513

```
Li2GaIr
1.0
0.000 2.991 2.991
2.991 0.000 2.991
2.991 2.991 0.000
Li Ga Ir
2 1 1
Cartesian
0.000 0.000 0.000
1.495 1.495 1.495
2.991 2.991 2.991
4.486 4.486 4.486
```


(11)
## ScZnCuAs (PBE-GGA)

Data for crystalline ScZnCuAs at its relaxed geometry.

Calculated values
Density, g cm⁻³: 6.18
Space group: F-43m, No. 216
E, eV/atom: -4.2161
Offset from the most stable computed form, eV per formula unit: 0.00

```
ScZnCuAs
1.0
0.000 3.221 3.221
3.221 0.000 3.221
3.221 3.221 0.000
Sc Zn Cu As
1 1 1 1
Cartesian
0.000 0.000 0.000
3.221 3.221 3.221
1.611 1.611 1.611
4.832 4.832 4.832
```


(12)
## Li2ScTaO4 (PBE-GGA)

Data for crystalline Li2ScTaO4 at its relaxed geometry.

Calculated values
Density, g cm⁻³: 6.54
Space group: P-6m2, No. 187
E, eV/atom: -7.7838

```
Li2ScTaO4
1.0
2.943 0.000 0.000
-1.471 2.548 0.000
0.000 0.000 10.291
Li Sc Ta O
2 1 1 4
Cartesian
0.000 0.000 2.540
0.000 0.000 7.751
1.471 0.849 0.000
0.000 1.699 5.146
0.000 1.699 1.253
0.000 1.699 9.038
1.471 0.849 3.818
1.471 0.849 6.474
```


(13)
## BaLuTa (PBE-GGA)

Data for crystalline BaLuTa at its relaxed geometry.

Calculated values
Density, g cm⁻³: 7.81
Space group: F-43m, No. 216
E, eV/atom: -4.7851
Offset from the most stable computed form, eV per formula unit: 0.00

```
BaLuTa
1.0
0.000 3.743 3.743
3.743 0.000 3.743
3.743 3.743 0.000
Ba Lu Ta
1 1 1
Cartesian
0.000 0.000 0.000
3.743 3.743 3.743
1.872 1.872 1.872
```


(14)
## NpTa (PBE-GGA)

Data for crystalline NpTa at its relaxed geometry.

Calculated values
Density, g cm⁻³: 17.34
Space group: P-6m2, No. 187
E, eV/atom: -11.9398
Offset from the most stable computed form, eV per formula unit: 0.00
ΔH_f (0 K), eV/atom: 0.371

```
NpTa
1.0
2.883 0.000 0.000
-1.442 2.497 0.000
0.000 0.000 5.559
Np Ta
1 1
Cartesian
0.000 0.000 0.000
1.442 0.832 2.779
```


(15)
## Lu2Co (PBE-GGA)

Data for crystalline Lu2Co at its relaxed geometry.

Calculated values
Density, g cm⁻³: 9.93
Space group: Fd-3m, No. 227
E, eV/atom: -4.3663
ΔH_f (0 K), eV/atom: 1.018

```
Lu2Co
1.0
0.000 4.089 4.089
4.089 0.000 4.089
4.089 4.089 0.000
Lu Co
4 2
Cartesian
0.000 0.000 0.000
2.044 2.044 0.000
2.044 0.000 2.044
0.000 2.044 2.044
3.067 3.067 3.067
5.111 5.111 5.111
```


(16)
## Sm2InSnPt4 (PBE-GGA)

Data for crystalline Sm2InSnPt4 at its relaxed geometry.

Calculated values
Density, g cm⁻³: 12.86
Space group: P-3m1, No. 164
E, eV/atom: -5.9999

```
Sm2InSnPt4
1.0
4.606 0.000 0.000
-2.303 3.989 0.000
0.000 0.000 9.238
Sm In Sn Pt
2 1 1 4
Cartesian
0.000 2.659 2.312
2.303 1.330 6.926
0.000 0.000 4.619
0.000 0.000 0.000
0.000 2.659 5.430
0.000 2.659 8.426
2.303 1.330 0.812
2.303 1.330 3.808
```


(17)
## NaCuF5 (PBE-GGA)

Data for crystalline NaCuF5 at its relaxed geometry.

Calculated values
Density, g cm⁻³: 3.94
Space group: C2/c, No. 15
E, eV/atom: -3.5769

```
NaCuF5
1.0
4.080 -2.723 0.000
4.080 2.723 0.000
-3.154 0.000 6.889
Na Cu F
2 2 10
Cartesian
1.714 2.683 5.167
3.291 -2.683 1.722
4.080 0.000 0.000
2.503 0.000 3.445
0.172 1.613 6.722
1.169 0.797 2.596
3.257 1.613 3.612
-0.408 -0.797 6.041
1.714 0.276 5.167
3.291 -0.276 1.722
5.413 0.797 0.848
1.749 -1.613 3.278
3.836 -0.797 4.293
4.834 -1.613 0.167
```


(18)
## YCuSe2 (PBE-GGA)

Data for crystalline YCuSe2 at its relaxed geometry.

Calculated values
Density, g cm⁻³: 6.01
Space group: P2_1/c, No. 14
E, eV/atom: -5.5093

```
YCuSe2
1.0
6.640 0.000 0.000
0.000 7.337 0.000
-0.794 0.000 7.042
Y Cu Se
4 4 8
Cartesian
1.065 0.319 2.116
0.668 3.350 5.637
5.178 3.987 1.405
4.780 7.018 4.927
2.457 4.826 3.181
2.059 6.180 6.702
3.786 1.157 0.340
3.389 2.511 3.861
0.085 5.315 3.504
-0.313 5.691 7.025
2.095 0.822 5.054
2.492 2.846 1.532
3.353 4.491 5.510
3.751 6.515 1.989
6.158 1.646 0.017
5.761 2.022 3.538
```


(19)
## LiCdCuBi (PBE-GGA)

Data for crystalline LiCdCuBi at its relaxed geometry.

Calculated values
Density, g cm⁻³: 7.81
Space group: F-43m, No. 216
E, eV/atom: -2.5802
Offset from the most stable computed form, eV per formula unit: 0.50

```
LiCdCuBi
1.0
0.000 3.467 3.467
3.467 0.000 3.467
3.467 3.467 0.000
Li Cd Cu Bi
1 1 1 1
Cartesian
0.000 0.000 0.000
1.734 1.734 1.734
5.201 5.201 5.201
3.467 3.467 3.467
```


(20)
## Tb2TmMg3InGa2 (PBE-GGA)

Data for crystalline Tb2TmMg3InGa2 at its relaxed geometry.

Calculated values
Density, g cm⁻³: 6.42
Space group: Amm2, No. 38
E, eV/atom: -3.4759

```
Tb2TmMg3InGa2
1.0
4.550 0.000 0.000
0.000 6.311 3.668
0.000 -6.311 3.668
Tb Tm Mg In Ga
2 1 3 1 2
Cartesian
0.000 -3.549 3.668
0.000 3.549 3.668
0.000 0.000 2.523
2.275 0.000 0.228
2.275 -1.575 4.809
2.275 1.575 4.809
0.000 0.000 5.707
2.275 -2.086 2.062
2.275 2.086 2.062
```


(21)
## B6Au (PBE-GGA)

Data for crystalline B6Au at its relaxed geometry.

Calculated values
Density, g cm⁻³: 6.09
Space group: Pm-3m, No. 221
E, eV/atom: -5.6762

```
B6Au
1.0
4.148 0.000 0.000
0.000 4.148 0.000
0.000 0.000 4.148
B Au
6 1
Cartesian
0.000 0.000 1.256
0.000 0.000 2.892
0.000 1.256 0.000
0.000 2.892 0.000
1.256 0.000 0.000
2.892 0.000 0.000
2.074 2.074 2.074
```


(22)
## YEr3Ni4 (PBE-GGA)

Data for crystalline YEr3Ni4 at its relaxed geometry.

Calculated values
Density, g cm⁻³: 8.79
Space group: Pm, No. 6
E, eV/atom: -5.7827
ΔH_f (0 K), eV/atom: -0.479

```
YEr3Ni4
1.0
5.388 0.000 0.000
0.000 4.140 0.000
-0.036 0.000 6.988
Y Er Ni
1 3 4
Cartesian
0.000 0.000 0.000
1.406 2.070 2.520
2.658 2.070 5.998
4.088 0.000 3.490
-0.001 2.070 4.987
1.369 0.000 4.470
2.712 0.000 1.003
4.057 2.070 1.531
```


(23)
## GdInNiTe3 (PBE-GGA)

Data for crystalline GdInNiTe3 at its relaxed geometry.

Calculated values
Density, g cm⁻³: 6.87
Space group: Cmcm, No. 63
E, eV/atom: -4.3682

```
GdInNiTe3
1.0
2.034 -7.614 0.000
2.034 7.614 0.000
0.000 0.000 11.131
Gd In Ni Te
2 2 2 6
Cartesian
0.000 0.000 0.000
0.000 0.000 5.566
2.034 3.839 8.348
2.034 -3.839 2.783
2.034 0.378 2.783
2.034 -0.378 8.348
2.034 6.391 2.783
2.034 2.132 0.885
2.034 2.132 4.681
2.034 -2.132 6.451
2.034 -2.132 10.246
2.034 -6.391 8.348
```


(24)
## LiMoAu (PBE-GGA)

Data for crystalline LiMoAu at its relaxed geometry.

Calculated values
Density, g cm⁻³: 9.03
Space group: F-43m, No. 216
E, eV/atom: -4.4553

```
LiMoAu
1.0
0.000 3.021 3.021
3.021 0.000 3.021
3.021 3.021 0.000
Li Mo Au
1 1 1
Cartesian
0.000 0.000 0.000
4.531 4.531 4.531
3.021 3.021 3.021
```